VASP calculation (GGA-PBE) on a relaxed CsGaTc2O8 crystal.

## Properties
Crystal system: trigonal
Calculated density (g/cm3): 3.9
Energy relative to the elements, uncorrected (kJ/mol of formula units): -1729
DOS at the Fermi energy (states/eV/f.u.): 8.98

Cell lengths 5.3974, 5.3974, 8.8336 Å; angles 90.00, 90.00, 120.00 degrees
Site moments in Bohr magnetons follow the coordinates.
Atoms (fractional coordinates):
O  0.6667  0.3333  0.1054  0.05
Cs  0.0000  0.0000  0.0000  0.00
O  0.0526  0.3220  0.6334  0.06
Tc  0.3333  0.6667  0.6962  0.63
Ga  0.0000  0.0000  0.5000  0.06
O  0.3220  0.2695  0.3666  0.06
O  0.6780  0.7305  0.6334  0.06
O  0.2695  0.9474  0.6334  0.06
O  0.7305  0.0526  0.3666  0.06
Tc  0.6667  0.3333  0.3038  0.63
O  0.3333  0.6667  0.8946  0.05
O  0.9474  0.6780  0.3666  0.06

=====

VASP calculation (GGA-PBE) on a relaxed Mg2VAu crystal.

## Properties
Crystal system: cubic
Calculated density (g/cm3): 7.0
E_form (eV per atom): -0.022
Polymorph energy (0 for the lowest one) (eV/atom): 0.000
DOS at the Fermi energy (states/eV/f.u.): 2.85

Cell lengths 4.6331, 4.6331, 4.6331 Å; angles 60.00, 60.00, 60.00 degrees
Site moments in Bohr magnetons follow the coordinates.
Atoms (fractional coordinates):
Mg  0.2500  0.2500  0.2500  0.00
Au  0.5000  0.5000  0.5000  -0.03
V  0.0000  0.0000  0.0000  2.50
Mg  0.7500  0.7500  0.7500  0.00

=====

VASP calculation (GGA-PBE) on a relaxed LiNd2Dy crystal.

## Properties
Crystal system: trigonal
Calculated density (g/cm3): 5.8
E_form (eV per atom): 0.116
Polymorph energy (0 for the lowest one) (eV/atom): 0.053
DOS at the Fermi energy (states/eV/f.u.): 3.95

Cell lengths 3.5512, 3.5512, 11.9158 Å; angles 90.00, 90.00, 120.00 degrees
Atoms (fractional coordinates):
Nd  0.3333  0.6667  0.7631
Li  0.6667  0.3333  0.5239
Dy  0.0000  0.0000  0.0084
Nd  0.6667  0.3333  0.2497

=====

VASP calculation (GGA-PBE) on a relaxed AcTbNd6 crystal.

## Properties
Crystal system: tetragonal
Calculated density (g/cm3): 7.2
E_form (eV per atom): 0.024
DOS at the Fermi energy (states/eV/f.u.): 13.64

Cell lengths 5.2347, 5.2347, 10.4774 Å; angles 90.00, 90.00, 90.00 degrees
Atoms (fractional coordinates):
Nd  0.5000  0.5000  0.5000
Tb  0.0000  0.0000  0.5000
Nd  0.5000  0.0000  0.7423
Nd  0.0000  0.5000  0.7423
Nd  0.5000  0.5000  0.0000
Nd  0.0000  0.5000  0.2577
Nd  0.5000  0.0000  0.2577
Ac  0.0000  0.0000  0.0000

=====

VASP calculation (GGA-PBE) on a relaxed KAg3Cl8 crystal.

## Properties
Crystal system: trigonal
Calculated density (g/cm3): 3.3
Energy relative to the elements, uncorrected (kJ/mol of formula units): -537
DOS at the Fermi energy (states/eV/f.u.): 11.23

Cell lengths 6.6824, 6.6824, 8.3398 Å; angles 90.00, 90.00, 120.00 degrees
Atoms (fractional coordinates):
Cl  0.2851  0.9741  0.8206
Cl  0.3333  0.6667  0.5232
Ag  0.3333  0.6667  0.2298
Cl  0.6667  0.3333  0.4768
Ag  0.0000  0.0000  0.0000
Cl  0.7149  0.0259  0.1794
Ag  0.6667  0.3333  0.7702
Cl  0.3111  0.2851  0.1794
Cl  0.9741  0.6889  0.1794
Cl  0.6889  0.7149  0.8206
Cl  0.0259  0.3111  0.8206
K  0.0000  0.0000  0.5000

=====

VASP calculation (GGA-PBE) on a relaxed Er3Cd7Ag2 crystal.

## Properties
Crystal system: monoclinic
Calculated density (g/cm3): 8.7
E_form (eV per atom): -0.115
Polymorph energy (0 for the lowest one) (eV/atom): 0.054
DOS at the Fermi energy (states/eV/f.u.): 6.97

Cell lengths 4.3518, 5.0496, 13.1265 Å; angles 90.54, 90.00, 90.00 degrees
Atoms (fractional coordinates):
Cd  0.5000  0.0000  0.1610
Er  0.0000  0.9778  0.6618
Er  0.0000  0.0222  0.3382
Cd  0.0000  0.4842  0.8336
Cd  0.0000  0.0000  0.0000
Cd  0.0000  0.5158  0.1664
Cd  0.5000  0.7488  0.4884
Ag  0.5000  0.4858  0.2992
Ag  0.5000  0.5142  0.7008
Er  0.5000  0.5000  0.0000
Cd  0.5000  0.2512  0.5116
Cd  0.5000  0.0000  0.8390

=====

VASP calculation (GGA-PBE) on a relaxed Zn5NiAu2 crystal.

## Properties
Crystal system: tetragonal
Calculated density (g/cm3): 10.9
E_form (eV per atom): -0.150
DOS at the Fermi energy (states/eV/f.u.): 2.49

Cell lengths 4.0711, 4.0711, 7.7335 Å; angles 105.26, 105.26, 90.00 degrees
Atoms (fractional coordinates):
Zn  0.1144  0.6144  0.2287
Zn  0.3856  0.8856  0.7713
Au  0.7592  0.7592  0.5183
Au  0.2408  0.2408  0.4817
Zn  0.5000  0.5000  0.0000
Zn  0.8856  0.3856  0.7713
Ni  0.0000  0.0000  0.0000
Zn  0.6144  0.1144  0.2287

=====

VASP calculation (GGA-PBE) on a relaxed YTa2In crystal.

## Properties
Crystal system: tetragonal
Calculated density (g/cm3): 10.5
E_form (eV per atom): 0.392
DOS at the Fermi energy (states/eV/f.u.): 4.23

Cell lengths 3.6633, 3.6633, 6.6704 Å; angles 90.00, 90.00, 90.00 degrees
Atoms (fractional coordinates):
Ta  0.0000  0.0000  0.5537
In  0.5000  0.5000  0.7500
Y  0.5000  0.5000  0.2500
Ta  0.0000  0.0000  0.9463

=====

VASP calculation (GGA-PBE) on a relaxed La3Y crystal.

## Properties
Crystal system: cubic
Calculated density (g/cm3): 5.8
E_form (eV per atom): 0.127
DOS at the Fermi energy (states/eV/f.u.): 11.90

Cell lengths 5.9086, 5.9086, 5.9086 Å; angles 60.00, 60.00, 60.00 degrees
Atoms (fractional coordinates):
La  0.5000  0.5000  0.5000
Y  0.7500  0.7500  0.7500
La  0.0000  0.0000  0.0000
La  0.2500  0.2500  0.2500

=====

VASP calculation (GGA-PBE) on a relaxed CrInSe3 crystal.

## Properties
Crystal system: orthorhombic
Calculated density (g/cm3): 5.3
Energy relative to the elements, uncorrected (kJ/mol of formula units): -234

Cell lengths 3.9459, 6.4843, 10.1513 Å; angles 90.00, 101.21, 90.00 degrees
Site moments in Bohr magnetons follow the coordinates.
Atoms (fractional coordinates):
Cr  0.3240  0.5132  0.6481  3.02
Se  0.1120  0.8527  0.2239  -0.10
In  0.8734  0.9587  0.7469  0.04
Se  0.7648  0.7147  0.5296  -0.09
Cr  0.6760  0.0132  0.3519  3.02
Se  0.4279  0.7548  0.8559  -0.05
Se  0.8880  0.3527  0.7761  -0.10
In  0.1266  0.4587  0.2531  0.04
Se  0.2352  0.2147  0.4704  -0.09
Se  0.5721  0.2548  0.1441  -0.05

=====

VASP calculation (GGA-PBE) on a relaxed LaAl3Hg crystal.

## Properties
Crystal system: cubic
Calculated density (g/cm3): 5.3
E_form (eV per atom): 0.284
Polymorph energy (0 for the lowest one) (eV/atom): 0.675
DOS at the Fermi energy (states/eV/f.u.): 2.02

Cell lengths 5.1018, 5.1018, 5.1018 Å; angles 90.00, 90.00, 90.00 degrees
Atoms (fractional coordinates):
Al  0.0000  0.5000  0.0000
La  0.5000  0.5000  0.5000
Hg  0.0000  0.0000  0.0000
Al  0.0000  0.0000  0.5000
Al  0.5000  0.0000  0.0000

=====

VASP calculation (GGA-PBE) on a relaxed Ac12In6Ru crystal.

## Properties
Crystal system: trigonal
Calculated density (g/cm3): 7.7
E_form (eV per atom): -0.213
DOS at the Fermi energy (states/eV/f.u.): 20.45

Cell lengths 9.1250, 9.1250, 9.1250 Å; angles 93.48, 93.48, 93.48 degrees
Atoms (fractional coordinates):
Ac  0.0390  0.9204  0.6920
Ac  0.9204  0.6920  0.0390
Ac  0.8038  0.5778  0.4503
Ac  0.9610  0.0796  0.3080
Ac  0.1962  0.4222  0.5497
Ru  0.0000  0.0000  0.0000
In  0.3538  0.1404  0.7335
In  0.2665  0.6462  0.8596
Ac  0.5778  0.4503  0.8038
In  0.8596  0.2665  0.6462
In  0.6462  0.8596  0.2665
Ac  0.4222  0.5497  0.1962
Ac  0.5497  0.1962  0.4222
Ac  0.6920  0.0390  0.9204
Ac  0.3080  0.9610  0.0796
Ac  0.4503  0.8038  0.5778
In  0.7335  0.3538  0.1404
Ac  0.0796  0.3080  0.9610
In  0.1404  0.7335  0.3538